Below is a PBEsol-optimized structure of BaRe2Au, with properties calculated at the meta-GGA SCAN level.

abc: 3.2841 5.6350 9.9196
angles: 90.00 90.00 90.00
With the nearest neighbours (Å) after each atom.
Space group Imm2 (No. 44)
Unique sites:
Ba: 0.0000 0.0000 0.0000  8 Re 3.26-3.56, 2 Ba 3.28, 4 Au 3.35-3.48
Re: 0.0000 0.0000 0.4874  2 Re 2.34
Re: 0.0000 0.5000 0.8190  2 Re 2.34
Au: 0.0000 0.5000 0.2060  2 Re 2.72

Values from the calculation:
* energy above the most stable polymorph in this dataset: 168 meV/atom
* E_form: 0.8850 eV/atom



Below is a PBEsol-optimized structure of La2GeRhI, with properties calculated at the meta-GGA SCAN level.

abc: 5.4464 5.4464 5.0021
angles: 90.00 90.00 90.00
With the nearest neighbours (Å) after each atom.
Space group P4/mmm (No. 123)
Unique sites:
La: 0.0000 0.5000 0.0000  2 Rh 2.72
Ge: 0.0000 0.0000 0.5000  8 La 3.70, 4 I 3.85
Rh: 0.5000 0.5000 0.0000  2 I 2.50, 4 La 2.72
I: 0.5000 0.5000 0.5000  2 Rh 2.50

Values from the calculation:
* formation energy (no corrections): -1.725 eV per formula unit



Below is a PBEsol-optimized structure of Y3AuCl, with properties calculated at the meta-GGA SCAN level.

abc: 5.4964 5.4964 5.4964
angles: 90.00 90.00 90.00
With the nearest neighbours (Å) after each atom.
Space group Pm-3m (No. 221)
Unique sites:
Y: 0.0000 0.0000 0.5000  2 Au 2.75
Au: 0.0000 0.0000 0.0000  6 Y 2.75
Cl: 0.5000 0.5000 0.5000  12 Y 3.89

Values from the calculation:
* formation energy (no corrections): -2.230 eV per formula unit



Below is a PBEsol-optimized structure of LiAuSe2, with properties calculated at the meta-GGA SCAN level.

abc: 3.8653 3.8653 22.8491
angles: 90.00 90.00 120.00
With the nearest neighbours (Å) after each atom.
Space group R-3m (No. 166, hexagonal axes)
Unique sites:
Li: 0.0000 0.0000 0.0000  2 Se 2.43
Au: 0.0000 0.0000 0.5000  6 Se 2.62
Se: 0.0000 0.0000 0.1064  1 Li 2.43, 3 Au 2.62

Values from the calculation:
* formation energy (no corrections): -0.792 eV per formula unit



Calculated values (eV/atom) of energy for the records, taken in order: -61.841, -35.507, -32.579, -28.124.
Calculated values (μB/cell) of spin magnetization for the records, taken in order: 0.00, 0.78, 0.65, 0.00.